(1)
# YPuCdGe | Alexandria | PBE-GGA | relaxed
# - ΔE_f (meV/atom) = -319
# - crystal system = cubic
# - total DFT energy (no corrections) (eV per cell) = -110.42
# - volume (Å³ per atom) = 24.61
data_YPuCdGe
_symmetry_space_group_name_H-M 'F -4 3 m'
_symmetry_Int_Tables_number 216
_symmetry_space_group_name_Hall 'F -4 2 3'
_cell_length_a 7.329
_cell_length_b 7.329
_cell_length_c 7.329
_cell_angle_alpha 90.00
_cell_angle_beta 90.00
_cell_angle_gamma 90.00
loop_
_atom_site_label
_atom_site_type_symbol
_atom_site_fract_x
_atom_site_fract_y
_atom_site_fract_z
Y1 Y 0.000 0.000 0.000
Pu1 Pu 0.000 0.000 0.500
Cd1 Cd 0.250 0.250 0.250
Ge1 Ge 0.250 0.250 0.750



(2)
# PuZnCdGe | Alexandria | PBE-GGA | relaxed
# - ΔE_f (meV/atom) = -148
# - crystal system = cubic
# - total DFT energy (no corrections) (eV per cell) = -86.91
# - volume (Å³ per atom) = 20.87
data_PuZnCdGe
_symmetry_space_group_name_H-M 'F -4 3 m'
_symmetry_Int_Tables_number 216
_symmetry_space_group_name_Hall 'F -4 2 3'
_cell_length_a 6.938
_cell_length_b 6.938
_cell_length_c 6.938
_cell_angle_alpha 90.00
_cell_angle_beta 90.00
_cell_angle_gamma 90.00
loop_
_atom_site_label
_atom_site_type_symbol
_atom_site_fract_x
_atom_site_fract_y
_atom_site_fract_z
Pu1 Pu 0.000 0.000 0.000
Zn1 Zn 0.250 0.250 0.250
Cd1 Cd 0.000 0.000 0.500
Ge1 Ge 0.250 0.250 0.750



(3)
# RbCdGe3 | Alexandria | PBE-GGA | relaxed
# - ΔE_f (meV/atom) = 548
# - crystal system = cubic
# - excess energy over the best structure of this formula in the dataset (eV/f.u.) = 0.00
# - total DFT energy (no corrections) (eV per cell) = -12.99
# - volume (Å³ per atom) = 31.15
data_RbCdGe3
_symmetry_space_group_name_H-M 'P m -3 m'
_symmetry_Int_Tables_number 221
_symmetry_space_group_name_Hall '-P 4 2 3'
_cell_length_a 5.380
_cell_length_b 5.380
_cell_length_c 5.380
_cell_angle_alpha 90.00
_cell_angle_beta 90.00
_cell_angle_gamma 90.00
loop_
_atom_site_label
_atom_site_type_symbol
_atom_site_fract_x
_atom_site_fract_y
_atom_site_fract_z
Rb1 Rb 0.000 0.000 0.000
Cd1 Cd 0.500 0.500 0.500
Ge1 Ge 0.000 0.500 0.500



(4)
# Rb3CdGe | Alexandria | PBE-GGA | relaxed
# - ΔE_f (meV/atom) = 51
# - crystal system = monoclinic
# - excess energy over the best structure of this formula in the dataset (eV/f.u.) = 0.00
# - total DFT energy (no corrections) (eV per cell) = -32.72
# - volume (Å³ per atom) = 49.39
data_Rb3CdGe
_symmetry_space_group_name_H-M 'C 1 2/m 1'
_symmetry_Int_Tables_number 12
_cell_length_a 11.509
_cell_length_b 11.085
_cell_length_c 9.198
_cell_angle_alpha 90.00
_cell_angle_beta 122.68
_cell_angle_gamma 90.00
loop_
_symmetry_equiv_pos_as_xyz
'x,y,z'
'-x,-y,-z'
'-x,y,-z'
'x,-y,z'
'x+1/2,y+1/2,z'
'-x+1/2,-y+1/2,-z'
'-x+1/2,y+1/2,-z'
'x+1/2,-y+1/2,z'
loop_
_atom_site_label
_atom_site_type_symbol
_atom_site_fract_x
_atom_site_fract_y
_atom_site_fract_z
Rb1 Rb 0.030 0.000 0.246
Rb2 Rb 0.213 0.307 0.240
Cd1 Cd 0.150 0.500 0.836
Ge1 Ge 0.102 0.500 0.484



(5)
# Rb3Cd5Ge2 | Alexandria | PBE-GGA | relaxed
# - ΔE_f (meV/atom) = -1
# - crystal system = orthorhombic
# - total DFT energy (no corrections) (eV per cell) = -66.91
# - volume (Å³ per atom) = 32.43
data_Rb3Cd5Ge2
_symmetry_space_group_name_H-M 'I b a m'
_symmetry_Int_Tables_number 72
_symmetry_space_group_name_Hall '-I 2 2c'
_cell_length_a 10.268
_cell_length_b 15.583
_cell_length_c 8.108
_cell_angle_alpha 90.00
_cell_angle_beta 90.00
_cell_angle_gamma 90.00
loop_
_atom_site_label
_atom_site_type_symbol
_atom_site_fract_x
_atom_site_fract_y
_atom_site_fract_z
Rb1 Rb 0.000 0.000 0.250
Rb2 Rb 0.248 0.371 0.000
Cd1 Cd 0.000 0.251 0.250
Cd2 Cd 0.000 0.500 0.250
Cd3 Cd 0.127 0.375 0.500
Ge1 Ge 0.118 0.164 0.000



(6)
# RbCdGe2 | Alexandria | PBE-GGA | relaxed
# - ΔE_f (meV/atom) = 102
# - crystal system = trigonal
# - total DFT energy (no corrections) (eV per cell) = -32.12
# - volume (Å³ per atom) = 31.15
data_RbCdGe2
_symmetry_space_group_name_H-M 'R -3 m'
_symmetry_Int_Tables_number 166
_symmetry_space_group_name_Hall '-R 3 2"'
_cell_length_a 4.6415
_cell_length_b 4.6415
_cell_length_c 20.0355
_cell_angle_alpha 90.00
_cell_angle_beta 90.00
_cell_angle_gamma 120.00
loop_
_atom_site_label
_atom_site_type_symbol
_atom_site_fract_x
_atom_site_fract_y
_atom_site_fract_z
Rb1 Rb 0.0000 0.0000 0.0000
Cd1 Cd 0.0000 0.0000 0.5000
Ge1 Ge 0.0000 0.0000 0.2064



(7)
# RbCd6Ge2 | Alexandria | PBE-GGA | relaxed
# - ΔE_f (meV/atom) = -14
# - crystal system = tetragonal
# - total DFT energy (no corrections) (eV per cell) = -15.82
# - volume (Å³ per atom) = 24.27
data_RbCd6Ge2
_symmetry_space_group_name_H-M 'P 4/m m m'
_symmetry_Int_Tables_number 123
_symmetry_space_group_name_Hall '-P 4 2'
_cell_length_a 4.660
_cell_length_b 4.660
_cell_length_c 10.060
_cell_angle_alpha 90.00
_cell_angle_beta 90.00
_cell_angle_gamma 90.00
loop_
_atom_site_label
_atom_site_type_symbol
_atom_site_fract_x
_atom_site_fract_y
_atom_site_fract_z
Rb1 Rb 0.000 0.000 0.000
Cd1 Cd 0.000 0.000 0.500
Cd2 Cd 0.000 0.500 0.290
Cd3 Cd 0.500 0.500 0.500
Ge1 Ge 0.500 0.500 0.132



(8)
# RbCd4Ge2 | Alexandria | PBE-GGA | relaxed
# - ΔE_f (meV/atom) = -32
# - crystal system = orthorhombic
# - total DFT energy (no corrections) (eV per cell) = -28.18
# - volume (Å³ per atom) = 24.93
data_RbCd4Ge2
_symmetry_space_group_name_H-M 'C m m m'
_symmetry_Int_Tables_number 65
_symmetry_space_group_name_Hall '-C 2 2'
_cell_length_a 4.653
_cell_length_b 16.084
_cell_length_c 4.663
_cell_angle_alpha 90.00
_cell_angle_beta 90.00
_cell_angle_gamma 90.00
loop_
_atom_site_label
_atom_site_type_symbol
_atom_site_fract_x
_atom_site_fract_y
_atom_site_fract_z
Rb1 Rb 0.000 0.000 0.000
Cd1 Cd 0.000 0.181 0.500
Cd2 Cd 0.000 0.315 0.000
Ge1 Ge 0.000 0.417 0.500



(9)
# Rb3CdGe | Alexandria | PBE-GGA | relaxed
# - ΔE_f (meV/atom) = 222
# - crystal system = cubic
# - excess energy over the best structure of this formula in the dataset (eV/f.u.) = 0.86
# - total DFT energy (no corrections) (eV per cell) = -7.33
# - volume (Å³ per atom) = 64.89
data_Rb3CdGe
_symmetry_space_group_name_H-M 'P m -3 m'
_symmetry_Int_Tables_number 221
_symmetry_space_group_name_Hall '-P 4 2 3'
_cell_length_a 6.871
_cell_length_b 6.871
_cell_length_c 6.871
_cell_angle_alpha 90.00
_cell_angle_beta 90.00
_cell_angle_gamma 90.00
loop_
_atom_site_label
_atom_site_type_symbol
_atom_site_fract_x
_atom_site_fract_y
_atom_site_fract_z
Rb1 Rb 0.000 0.000 0.500
Cd1 Cd 0.500 0.500 0.500
Ge1 Ge 0.000 0.000 0.000



(10)
# RbCd2Ge2 | Alexandria | PBE-GGA | relaxed
# - ΔE_f (meV/atom) = 40
# - crystal system = tetragonal
# - excess energy over the best structure of this formula in the dataset (eV/f.u.) = 0.55
# - total DFT energy (no corrections) (eV per cell) = -23.67
# - volume (Å³ per atom) = 27.39
data_RbCd2Ge2
_symmetry_space_group_name_H-M 'I 4/m m m'
_symmetry_Int_Tables_number 139
_symmetry_space_group_name_Hall '-I 4 2'
_cell_length_a 4.752
_cell_length_b 4.752
_cell_length_c 12.130
_cell_angle_alpha 90.00
_cell_angle_beta 90.00
_cell_angle_gamma 90.00
loop_
_atom_site_label
_atom_site_type_symbol
_atom_site_fract_x
_atom_site_fract_y
_atom_site_fract_z
Rb1 Rb 0.000 0.000 0.000
Cd1 Cd 0.000 0.000 0.379
Ge1 Ge 0.000 0.500 0.250



(11)
# RbCdGe3 | Alexandria | PBE-GGA | relaxed
# - ΔE_f (meV/atom) = 1630
# - crystal system = cubic
# - excess energy over the best structure of this formula in the dataset (eV/f.u.) = 5.41
# - total DFT energy (no corrections) (eV per cell) = -7.58
# - volume (Å³ per atom) = 38.78
data_RbCdGe3
_symmetry_space_group_name_H-M 'P m -3 m'
_symmetry_Int_Tables_number 221
_symmetry_space_group_name_Hall '-P 4 2 3'
_cell_length_a 5.788
_cell_length_b 5.788
_cell_length_c 5.788
_cell_angle_alpha 90.00
_cell_angle_beta 90.00
_cell_angle_gamma 90.00
loop_
_atom_site_label
_atom_site_type_symbol
_atom_site_fract_x
_atom_site_fract_y
_atom_site_fract_z
Rb1 Rb 0.000 0.000 0.000
Cd1 Cd 0.500 0.500 0.500
Ge1 Ge 0.000 0.000 0.500



(12)
# RbCd2Ge2 | Alexandria | PBE-GGA | relaxed
# - ΔE_f (meV/atom) = 123
# - crystal system = tetragonal
# - excess energy over the best structure of this formula in the dataset (eV/f.u.) = 0.97
# - total DFT energy (no corrections) (eV per cell) = -22.83
# - volume (Å³ per atom) = 25.12
data_RbCd2Ge2
_symmetry_space_group_name_H-M 'P 4/m b m'
_symmetry_Int_Tables_number 127
_symmetry_space_group_name_Hall '-P 4 2ab'
_cell_length_a 8.960
_cell_length_b 8.960
_cell_length_c 3.128
_cell_angle_alpha 90.00
_cell_angle_beta 90.00
_cell_angle_gamma 90.00
loop_
_atom_site_label
_atom_site_type_symbol
_atom_site_fract_x
_atom_site_fract_y
_atom_site_fract_z
Rb1 Rb 0.000 0.000 0.000
Cd1 Cd 0.129 0.371 0.000
Ge1 Ge 0.159 0.659 0.500